1.
Dy2OsI: optimized geometry, GGA-PBE.

The total moment is 0.0 μB per formula unit. The value obtained for the uncorrected formation energy is -478 meV/atom. The value obtained for the volume is 25.392 Å³ per atom.

Structure (CIF):
```
data_Dy2OsI
_chemical_formula_sum 'Dy2 Os1 I1'
_cell_length_a 3.471
_cell_length_b 3.471
_cell_length_c 8.432
_cell_angle_alpha 90.00
_cell_angle_beta 90.00
_cell_angle_gamma 90.00
_space_group_name_H-M_alt 'P 4/m m m'
_space_group_IT_number 123
_space_group_name_Hall '-P 4 2'
loop_
_atom_site_label
_atom_site_fract_x
_atom_site_fract_y
_atom_site_fract_z
_atom_site_occupancy
Dy1 0.000 0.000 0.197 1
Os1 0.500 0.500 0.000 1
I1 0.500 0.500 0.500 1
```

=====

2.
Ac5GeSe4: optimized geometry, GGA-PBE.

The total moment is 0.0 μB per formula unit. For the energy relative to the lowest polymorph listed for this composition, the calculation gives 0 meV per atom. The value obtained for the uncorrected formation energy is -1705 meV/atom. The value obtained for the volume is 32.356 Å³ per atom.

Structure (CIF):
```
data_Ac5GeSe4
_chemical_formula_sum 'Ac10 Ge2 Se8'
_cell_length_a 10.088
_cell_length_b 10.088
_cell_length_c 6.359
_cell_angle_alpha 90.00
_cell_angle_beta 90.00
_cell_angle_gamma 90.00
_space_group_name_H-M_alt 'I 4/m'
_space_group_IT_number 87
_space_group_name_Hall '-I 4'
loop_
_atom_site_label
_atom_site_fract_x
_atom_site_fract_y
_atom_site_fract_z
_atom_site_occupancy
Ac1 0.000 0.000 0.000 1
Ac2 0.099 0.706 0.500 1
Ge1 0.000 0.000 0.500 1
Se1 0.100 0.698 0.000 1
```